*P*
## NaTaGaCo (PBE)

Data for a relaxed NaTaGaCo crystal.

Summary:
The total magnetization comes out at 0.2 μB per formula unit. Its calculated density is 8.8 Mg/m³.

a b c (Å): 4.4543 4.4543 4.4543
angles (deg): 60.00 60.00 60.00
Sites, in units of the cell vectors:
1 Ga 0.0000 0.0000 0.0000
2 Ta 0.2500 0.2500 0.2500
3 Na 0.7500 0.7500 0.7500
4 Co 0.5000 0.5000 0.5000

***

*Q*
## NaTaGaCo (PBE)

Data for a relaxed NaTaGaCo crystal.

Summary:
The total magnetization comes out at 0.0 μB per formula unit. Its calculated density is 9.4 Mg/m³.

a b c (Å): 4.3568 4.3568 4.3568
angles (deg): 60.00 60.00 60.00
Sites, in units of the cell vectors:
1 Ta 0.5000 0.5000 0.5000
2 Co 0.2500 0.2500 0.2500
3 Ga 0.0000 0.0000 0.0000
4 Na 0.7500 0.7500 0.7500

***

Going by the computed energies, the most stable comes first: *Q*, *P*.

***

*P*
## NbGaCoPd (PBE)

Data for a relaxed NbGaCoPd crystal.

Summary:
The total magnetization comes out at 1.2 μB per formula unit. Its calculated density is 9.2 Mg/m³.

a b c (Å): 4.3735 4.3735 4.3735
angles (deg): 60.00 60.00 60.00
Sites, in units of the cell vectors:
1 Ga 0.0000 0.0000 0.0000
2 Pd 0.5000 0.5000 0.5000
3 Co 0.7500 0.7500 0.7500
4 Nb 0.2500 0.2500 0.2500

***

*Q*
## NbGaCoPd (PBE)

Data for a relaxed NbGaCoPd crystal.

Summary:
The total magnetization comes out at 1.0 μB per formula unit. Its calculated density is 9.2 Mg/m³.

a b c (Å): 4.3716 4.3716 4.3716
angles (deg): 60.00 60.00 60.00
Sites, in units of the cell vectors:
1 Pd 0.2500 0.2500 0.2500
2 Co 0.7500 0.7500 0.7500
3 Nb 0.5000 0.5000 0.5000
4 Ga 0.0000 0.0000 0.0000

***

Going by the computed energies, the most stable comes first: *Q*, *P*.

***

*P*
## YNbGaCo (PBE)

Data for a relaxed YNbGaCo crystal.

Summary:
The total magnetization comes out at 2.0 μB per formula unit. Its calculated density is 7.3 Mg/m³.

a b c (Å): 4.6323 4.6323 4.6323
angles (deg): 60.00 60.00 60.00
Sites, in units of the cell vectors:
1 Co 0.7500 0.7500 0.7500
2 Y 0.5000 0.5000 0.5000
3 Ga 0.0000 0.0000 0.0000
4 Nb 0.2500 0.2500 0.2500

***

*Q*
## YNbGaCo (PBE)

Data for a relaxed YNbGaCo crystal.

Summary:
The total magnetization comes out at 2.0 μB per formula unit. Its calculated density is 7.3 Mg/m³.

a b c (Å): 4.6379 4.6379 4.6379
angles (deg): 60.00 60.00 60.00
Sites, in units of the cell vectors:
1 Nb 0.5000 0.5000 0.5000
2 Y 0.2500 0.2500 0.2500
3 Ga 0.0000 0.0000 0.0000
4 Co 0.7500 0.7500 0.7500

***

Going by the computed energies, the most stable comes first: *P*, *Q*.

***

*P*
## GaCoNiPd (PBE)

Data for a relaxed GaCoNiPd crystal.

Summary:
The total magnetization comes out at 1.7 μB per formula unit. Its calculated density is 9.5 Mg/m³.

a b c (Å): 4.1737 4.1737 4.1737
angles (deg): 60.00 60.00 60.00
Sites, in units of the cell vectors:
1 Co 0.7500 0.7500 0.7500
2 Pd 0.2500 0.2500 0.2500
3 Ga 0.0000 0.0000 0.0000
4 Ni 0.5000 0.5000 0.5000

***

*Q*
## GaCoNiPd (PBE)

Data for a relaxed GaCoNiPd crystal.

Summary:
The total magnetization comes out at 1.7 μB per formula unit. Its calculated density is 9.4 Mg/m³.

a b c (Å): 4.1915 4.1915 4.1915
angles (deg): 60.00 60.00 60.00
Sites, in units of the cell vectors:
1 Pd 0.2500 0.2500 0.2500
2 Co 0.5000 0.5000 0.5000
3 Ga 0.0000 0.0000 0.0000
4 Ni 0.7500 0.7500 0.7500

***

Going by the computed energies, the most stable comes first: *P*, *Q*.